Ac6Ir2SeBr3 (PBE, relaxed); crystal system = monoclinic; energy relative to the elements, uncorrected = -1501.2 kJ/mol of formula units; total magnetization = 0.00 μB per formula unit
1.0
3.880 -6.720 0.000
3.880 6.720 0.000
-2.581 0.000 8.108
Ac Ir Se Br
6 2 1 3
Direct
0.075 0.433 0.801
0.209 0.209 0.199
0.433 0.075 0.801
0.567 0.925 0.199
0.791 0.791 0.801
0.925 0.567 0.199
0.167 0.833 0.000
0.833 0.167 0.000
0.500 0.500 0.000
0.000 0.000 0.500
0.338 0.662 0.500
0.662 0.338 0.500